Dy2Al2Fe15 PBE-GGA relaxed; space group = P6_3/mmc (194); E_tot = -7.527 eV/atom
1.0
8.295 0.000 0.000
-4.148 7.184 0.000
0.000 0.000 8.353
Fe Dy Al
30 4 4
Direct
0.500 0.000 0.500
0.365 0.331 0.750
0.669 0.635 0.750
0.635 0.669 0.250
0.165 0.331 0.988
0.669 0.034 0.750
0.331 0.165 0.012
0.669 0.835 0.512
0.331 0.165 0.488
0.000 0.500 0.500
0.835 0.669 0.488
0.165 0.331 0.512
0.966 0.635 0.750
0.835 0.669 0.012
0.835 0.165 0.012
0.000 0.500 0.000
0.034 0.669 0.250
0.500 0.000 0.000
0.966 0.331 0.750
0.500 0.500 0.000
0.331 0.966 0.250
0.835 0.165 0.488
0.331 0.365 0.250
0.500 0.500 0.500
0.165 0.835 0.512
0.365 0.034 0.750
0.669 0.835 0.988
0.635 0.966 0.250
0.165 0.835 0.988
0.034 0.365 0.250
0.000 0.000 0.250
0.333 0.667 0.750
0.667 0.333 0.250
0.000 0.000 0.750
0.333 0.667 0.100
0.667 0.333 0.900
0.333 0.667 0.400
0.667 0.333 0.600